one:
First-principles (GGA+U) data for crystalline LaVAgO2 at its relaxed geometry, as listed in Alexandria via LeMat-Bulk.

Size of the total moment (μB per cell): 3.953

a = 4.318 Å, b = 4.318 Å, c = 7.865 Å
α = 90.00°, β = 90.00°, γ = 90.00°
Atoms (fractional coordinates):
La 0.000 0.000 0.000
V 0.000 0.000 0.500
Ag 0.500 0.500 0.500
O 0.000 0.500 0.000
O 0.500 0.000 0.000

***

two:
First-principles (GGA+U) data for crystalline LaVAgO2 at its relaxed geometry, as listed in Alexandria via LeMat-Bulk.

Size of the total moment (μB per cell): 1.285

a = 4.394 Å, b = 4.394 Å, c = 6.156 Å
α = 90.00°, β = 90.00°, γ = 90.00°
Atoms (fractional coordinates):
La 0.000 0.000 0.000
V 0.500 0.500 0.500
Ag 0.000 0.000 0.500
O 0.000 0.500 0.000
O 0.500 0.000 0.000

***

The most stable of them is one.